Entry 1:
Entry from Alexandria: crystalline PmYCuIr at its relaxed geometry (PBE).

```
PmYCuIr
1.0
4.949 0.000 0.000
2.474 4.286 0.000
2.474 1.429 4.040
Pm Ir Cu Y
1 1 1 1
Cartesian
2.474 1.429 1.010
0.000 0.000 0.000
4.949 2.857 2.020
7.423 4.286 3.030
```

Computed properties:
excess energy over the best structure of this formula in the dataset: 0.08 eV/f.u.
density: 9.489 g cm⁻³
magnetic moment: 0.00 μB per formula unit
volume: 21.4 Å³/atom
total DFT energy (no corrections): -26.19 eV per cell
energy of formation from the pure elements: -504 meV/atom

---

Entry 2:
Entry from Alexandria: crystalline Tb3Er2Se6 at its relaxed geometry (PBE).

```
Tb3Er2Se6
1.0
6.744 0.000 2.006
3.372 6.067 1.003
0.359 0.000 6.996
Tb Se Er
3 6 2
Cartesian
3.372 2.001 1.003
6.744 4.066 2.006
0.000 0.000 0.000
1.981 2.002 5.709
5.311 0.000 6.675
8.495 4.065 4.296
1.793 0.000 2.327
5.354 4.065 6.712
5.122 2.002 3.293
3.552 4.062 4.501
6.924 2.005 5.504
```

Computed properties:
excess energy over the best structure of this formula in the dataset: 0.00 eV/f.u.
density: 7.569 g cm⁻³
magnetic moment: 0.00 μB per formula unit
volume: 25.6 Å³/atom
total DFT energy (no corrections): -64.34 eV per cell
raw formation energy: -1.856 eV/atom

---

Entry 3:
Entry from Alexandria: crystalline Al4GaRe at its relaxed geometry (PBE).

```
Al4GaRe
1.0
-0.229 -5.458 0.622
4.872 2.326 1.038
-4.204 2.430 6.064
Al Ga Re
8 2 2
Cartesian
-2.438 -2.923 3.892
3.610 1.884 1.182
2.878 2.221 3.833
-0.492 1.485 6.763
-3.170 -2.586 6.542
0.931 -2.187 0.961
0.225 1.158 4.107
0.215 -1.859 3.617
-1.469 -0.717 5.326
1.908 0.015 2.398
-0.642 -3.878 2.190
1.082 3.176 5.535
```

Computed properties:
density: 6.169 g cm⁻³
magnetic moment: 0.00 μB per formula unit
volume: 16.3 Å³/atom
total DFT energy (no corrections): -61.03 eV per cell
energy of formation from the pure elements: -11 meV/atom

---

Entry 4:
Entry from Alexandria: crystalline Pm3Ge2Pd3 at its relaxed geometry (PBE).

```
Pm3Ge2Pd3
1.0
-5.738 -0.481 -0.698
-0.051 -6.166 4.663
-2.276 9.311 12.289
Pd Pm Ge
12 12 8
Cartesian
-2.732 7.898 12.652
-5.313 4.794 10.208
-4.471 2.071 6.862
-3.594 0.593 9.391
-6.327 -1.165 8.970
-3.476 -1.997 1.493
-4.588 4.661 14.760
-2.752 -2.130 6.046
-1.300 1.073 3.888
-6.764 1.592 12.365
-1.738 3.830 7.283
-5.333 -5.233 3.601
-2.996 -2.526 9.105
-6.980 4.645 12.816
-3.867 2.714 12.052
-6.334 2.003 9.329
-2.350 -5.168 5.617
-5.068 5.190 7.148
-5.606 -3.248 6.364
-1.084 -1.981 3.437
-4.198 -0.050 4.201
-5.714 7.832 10.636
-2.458 5.913 9.889
-1.730 0.661 6.924
-3.435 3.151 8.984
-4.630 -0.487 7.269
-4.083 5.805 12.486
-5.152 -0.158 1.290
-2.264 0.168 11.461
-5.801 2.496 4.793
-2.912 2.822 14.963
-3.981 -3.141 3.767
```

Computed properties:
excess energy over the best structure of this formula in the dataset: 0.00 eV/f.u.
density: 8.550 g cm⁻³
magnetic moment: 0.00 μB per formula unit
volume: 21.8 Å³/atom
total DFT energy (no corrections): -184.33 eV per cell
energy of formation from the pure elements: -877 meV/atom

---

Entry 5:
Entry from Alexandria: crystalline Y3TmS3 at its relaxed geometry (PBE).

```
Y3TmS3
1.0
5.505 0.000 0.000
0.000 7.691 -0.223
0.000 0.090 7.694
Y Tm S
6 2 6
Cartesian
1.376 1.005 6.741
4.128 6.703 4.583
4.128 6.776 0.730
1.376 1.079 2.887
4.128 2.929 0.960
1.376 4.853 6.511
1.376 4.816 2.771
4.128 2.965 4.699
4.128 0.988 2.899
1.376 6.794 4.571
1.376 2.937 0.869
1.376 6.707 0.802
4.128 1.075 6.668
4.128 4.844 6.602
```

Computed properties:
density: 5.420 g cm⁻³
magnetic moment: 0.00 μB per formula unit
volume: 23.3 Å³/atom
total DFT energy (no corrections): -96.06 eV per cell
raw formation energy: -1.684 eV/atom

---

Entry 6:
Entry from Alexandria: crystalline Tc2Ir at its relaxed geometry (PBE).

```
Tc2Ir
1.0
0.000 3.570 3.570
3.570 0.000 3.570
3.570 3.570 0.000
Ir Tc
2 4
Cartesian
1.785 1.785 1.785
0.000 0.000 0.000
4.463 2.678 2.678
4.463 4.463 4.463
2.678 2.678 4.463
2.678 4.463 2.678
```

Computed properties:
excess energy over the best structure of this formula in the dataset: 1.72 eV/f.u.
density: 14.167 g cm⁻³
magnetic moment: 0.00 μB per formula unit
volume: 15.2 Å³/atom
total DFT energy (no corrections): -57.01 eV per cell
energy of formation from the pure elements: 363 meV/atom

---

Entry 7:
Entry from Alexandria: crystalline AcCePmY at its relaxed geometry (PBE).

```
AcCePmY
1.0
-3.733 -3.079 -3.355
-2.674 -4.769 2.186
-5.775 0.127 1.143
Pm Ac Y Ce
1 1 1 1
Cartesian
-6.091 -3.861 -0.013
0.000 0.000 0.000
-9.137 -5.791 -0.019
-3.046 -1.930 -0.006
```

Computed properties:
density: 6.913 g cm⁻³
magnetic moment: 3.18 μB per formula unit
volume: 36.1 Å³/atom
total DFT energy (no corrections): -20.39 eV per cell
energy of formation from the pure elements: 216 meV/atom

---

Entry 8:
Entry from Alexandria: crystalline TiInCu at its relaxed geometry (PBE).

```
TiInCu
1.0
4.083 0.000 0.001
-4.083 4.169 -0.001
2.035 0.000 6.015
In Cu Ti
2 2 2
Cartesian
4.086 0.260 3.463
2.047 0.260 1.086
2.043 0.260 5.282
0.004 2.345 5.281
2.044 2.345 3.328
0.006 2.345 1.220
```

Computed properties:
density: 7.340 g cm⁻³
magnetic moment: 0.72 μB per formula unit
volume: 17.1 Å³/atom
total DFT energy (no corrections): -29.73 eV per cell
energy of formation from the pure elements: -45 meV/atom

---

Which value of density does entry 2 give?
7.569 g cm⁻³

---

The highest magnetic moment belongs to which entry?
AcCePmY